# TePdI2 PBE-GGA relaxed
data_TePdI2
_chemical_formula_sum 'Te4 Pd4 I8'
_space_group_name_H-M_alt 'I 41/a m d'
_space_group_IT_number 141
_cell_length_a 10.978
_cell_length_b 10.978
_cell_length_c 5.283
_cell_angle_alpha 90.00
_cell_angle_beta 90.00
_cell_angle_gamma 90.00
loop_
_space_group_symop_operation_xyz
'x,y,z'
'-x,-y,-z'
'-y+1/4,x+3/4,z+1/4'
'y+1/4,-x+3/4,-z+1/4'
'-x+1/2,-y,z+1/2'
'x+1/2,y,-z+1/2'
'y+1/4,-x+1/4,z+3/4'
'-y+1/4,x+1/4,-z+3/4'
'x,-y,-z'
'-x,y,z'
'-y+1/4,-x+1/4,-z+3/4'
'y+1/4,x+1/4,z+3/4'
'-x+1/2,y,-z+1/2'
'x+1/2,-y,z+1/2'
'y+1/4,x+3/4,-z+1/4'
'-y+1/4,-x+3/4,z+1/4'
'x+1/2,y+1/2,z+1/2'
'-x+1/2,-y+1/2,-z+1/2'
'-y+3/4,x+1/4,z+3/4'
'y+3/4,-x+1/4,-z+3/4'
'-x,-y+1/2,z'
'x,y+1/2,-z'
'y+3/4,-x+3/4,z+1/4'
'-y+3/4,x+3/4,-z+1/4'
'x+1/2,-y+1/2,-z+1/2'
'-x+1/2,y+1/2,z+1/2'
'-y+3/4,-x+3/4,-z+1/4'
'y+3/4,x+3/4,z+1/4'
'-x,y+1/2,-z'
'x,-y+1/2,z'
'y+3/4,x+1/4,-z+3/4'
'-y+3/4,-x+1/4,z+3/4'
loop_
_atom_site_label
_atom_site_type_symbol
_atom_site_fract_x
_atom_site_fract_y
_atom_site_fract_z
Te1 Te 0.000 0.250 0.375
Pd1 Pd 0.000 0.250 0.875
I1 I 0.000 0.000 0.000
# Distance to the lowest polymorph of the same formula ... 0.281 eV per atom
# Formation energy without anion corrections ... 0.185 eV/f.u.
# E_tot ... -45.0 eV for the cell shown